Entry 1
Material: Pm5Tl2Ge
Method: DFT, PBE
State: optimized geometry

abc: 5.136 7.065 13.115
angles: 90.00 90.00 90.00
Sites, in units of the cell vectors:
1 Pm 0.000 0.365 0.283
2 Pm 0.500 0.674 0.414
3 Pm 0.000 0.635 0.717
4 Pm 0.500 0.174 0.086
5 Pm 0.500 0.826 0.914
6 Pm 0.000 0.500 0.000
7 Pm 0.500 0.326 0.586
8 Pm 0.000 0.000 0.500
9 Pm 0.000 0.135 0.783
10 Pm 0.000 0.865 0.217
11 Tl 0.500 0.891 0.659
12 Tl 0.500 0.391 0.841
13 Tl 0.500 0.609 0.159
14 Tl 0.500 0.109 0.341
15 Ge 0.000 0.000 0.000
16 Ge 0.000 0.500 0.500

The total magnetic moment comes out at 0.0 μB/f.u. As for the volume: 29.75 Å³/atom. Its space-group type is Pbam, No. 55.

Entry 2
Material: Pm5Tl2Ge
Method: DFT, PBE
State: optimized geometry

abc: 7.041 9.278 6.782
angles: 133.24 121.27 89.96
Sites, in units of the cell vectors:
1 Ge 0.222 0.222 0.444
2 Pm 0.722 0.722 0.944
3 Pm 0.222 0.222 0.944
4 Pm 0.722 0.722 0.445
5 Pm 0.722 0.222 0.944
6 Pm 0.222 0.722 0.944
7 Tl 0.222 0.722 0.444
8 Tl 0.722 0.222 0.444

The total magnetic moment comes out at 0.0 μB/f.u. As for the volume: 28.33 Å³/atom. Its space-group type is C2/m, No. 12.

entry 1 wins, 11.8 kJ/mol of atoms ahead of the next structure.

Entry 1
Material: PmTmGe
Method: DFT, PBE
State: optimized geometry

abc: 4.234 4.732 4.732
angles: 120.00 90.00 90.00
Sites, in units of the cell vectors:
1 Ge 0.425 0.667 0.333
2 Pm 0.028 0.000 0.000
3 Tm 0.547 0.333 0.667

The total magnetic moment comes out at 0.0 μB/f.u. As for the volume: 27.37 Å³/atom. Its space-group type is P3m1, No. 156.

Entry 2
Material: PmTmGe
Method: DFT, PBE
State: optimized geometry

abc: 4.405 4.406 8.170
angles: 90.00 90.00 90.00
Sites, in units of the cell vectors:
1 Tm 0.680 0.025 0.046
2 Tm 0.180 0.525 0.047
3 Pm 0.680 0.525 0.401
4 Pm 0.180 0.025 0.692
5 Ge 0.680 0.525 0.780
6 Ge 0.180 0.026 0.313

The total magnetic moment comes out at 0.0 μB/f.u. As for the volume: 26.43 Å³/atom. Its space-group type is P4/nmm, No. 129.

entry 2 wins, 18.2 kJ/mol of atoms ahead of the next structure.

Entry 1
Material: PmTmGe
Method: DFT, PBE
State: optimized geometry

abc: 4.882 4.947 7.075
angles: 90.00 110.18 90.00
Sites, in units of the cell vectors:
1 Tm 0.612 0.014 0.224
2 Tm 0.388 0.514 0.776
3 Pm 0.894 0.014 0.787
4 Pm 0.106 0.514 0.213
5 Ge 0.750 0.514 0.499
6 Ge 0.250 0.014 0.501

The total magnetic moment comes out at 0.0 μB/f.u. As for the volume: 26.73 Å³/atom. Its space-group type is Cmcm, No. 63.

Entry 2
Material: PmTmGe
Method: DFT, PBE
State: optimized geometry

abc: 4.919 4.919 4.919
angles: 60.00 60.00 60.00
Sites, in units of the cell vectors:
1 Tm 0.500 0.500 0.500
2 Ge 0.250 0.250 0.250
3 Pm 0.000 0.000 0.000

The total magnetic moment comes out at 0.0 μB/f.u. As for the volume: 28.05 Å³/atom. Its space-group type is F-43m, No. 216.

entry 2 wins, 9.4 kJ/mol of atoms ahead of the next structure.

Entry 1
Material: Pm2TmGe
Method: DFT, PBE
State: optimized geometry

abc: 3.691 3.688 9.282
angles: 111.21 89.86 95.66
Sites, in units of the cell vectors:
1 Ge 0.023 0.253 0.052
2 Pm 0.555 0.514 0.846
3 Pm 0.492 0.991 0.257
4 Tm 0.023 0.753 0.552

The total magnetic moment comes out at 0.0 μB/f.u. As for the volume: 29.29 Å³/atom. Its space-group type is C2/m, No. 12.

Entry 2
Material: Pm2TmGe
Method: DFT, PBE
State: optimized geometry

abc: 3.641 3.641 11.177
angles: 80.63 80.63 60.00
Sites, in units of the cell vectors:
1 Tm 0.000 0.000 0.000
2 Pm 0.897 0.897 0.310
3 Pm 0.103 0.103 0.690
4 Ge 0.500 0.500 0.500

The total magnetic moment comes out at 0.0 μB/f.u. As for the volume: 31.51 Å³/atom. Its space-group type is R-3m, No. 166.

Entry 3
Material: Pm2TmGe
Method: DFT, PBE
State: optimized geometry

abc: 4.102 4.102 6.561
angles: 90.00 90.00 90.00
Sites, in units of the cell vectors:
1 Pm 0.000 0.000 0.224
2 Pm 0.000 0.000 0.776
3 Tm 0.500 0.500 0.500
4 Ge 0.500 0.500 0.000

The total magnetic moment comes out at 0.0 μB/f.u. As for the volume: 27.59 Å³/atom. Its space-group type is P4/mmm, No. 123.

entry 3 wins, 5.4 kJ/mol of atoms ahead of the next structure.

Entry 1
Material: Pm2UGe
Method: DFT, PBE
State: optimized geometry

abc: 3.222 3.222 11.699
angles: 82.09 82.09 60.00
Sites, in units of the cell vectors:
1 U 0.000 0.000 0.000
2 Pm 0.094 0.094 0.718
3 Pm 0.906 0.906 0.282
4 Ge 0.500 0.500 0.500

The total magnetic moment comes out at 1.8 μB/f.u. As for the volume: 25.96 Å³/atom. Its space-group type is R-3m, No. 166.

Entry 2
Material: Pm2UGe
Method: DFT, PBE
State: optimized geometry

abc: 5.286 5.286 5.286
angles: 60.00 60.00 60.00
Sites, in units of the cell vectors:
1 Pm 0.750 0.750 0.750
2 Pm 0.250 0.250 0.250
3 Ge 0.500 0.500 0.500
4 U 0.000 0.000 0.000

The total magnetic moment comes out at 3.5 μB/f.u. As for the volume: 26.11 Å³/atom. Its space-group type is Fm-3m, No. 225.

entry 2 wins, 1.1 kJ/mol of atoms ahead of the next structure.

Entry 1
Material: PmUGe
Method: DFT, PBE
State: optimized geometry

abc: 3.259 5.112 5.112
angles: 120.00 90.00 90.00
Sites, in units of the cell vectors:
1 Pm 0.716 0.333 0.667
2 Ge 0.012 0.000 0.000
3 U 0.271 0.667 0.333

The total magnetic moment comes out at 3.7 μB/f.u. As for the volume: 24.58 Å³/atom. Its space-group type is P3m1, No. 156.

Entry 2
Material: PmUGe
Method: DFT, PBE
State: optimized geometry

abc: 3.983 7.917 5.289
angles: 69.90 67.88 75.43
Sites, in units of the cell vectors:
1 U 0.862 0.059 0.218
2 U 0.138 0.941 0.782
3 Pm 0.161 0.404 0.273
4 Pm 0.839 0.596 0.727
5 Ge 0.500 0.242 0.758
6 Ge 0.500 0.758 0.242

The total magnetic moment comes out at 2.0 μB/f.u. As for the volume: 23.94 Å³/atom. Its space-group type is C2/m, No. 12.

entry 2 wins, 38.6 kJ/mol of atoms ahead of the next structure.

Entry 1
Material: PmYZnGe
Method: DFT, PBE
State: optimized geometry

abc: 4.247 4.137 5.957
angles: 90.00 110.88 90.00
Sites, in units of the cell vectors:
1 Pm 0.144 0.000 0.288
2 Y 0.861 0.500 0.723
3 Zn 0.571 0.500 0.142
4 Ge 0.424 0.000 0.847

The total magnetic moment comes out at 0.3 μB/f.u. As for the volume: 24.45 Å³/atom. Its space-group type is Amm2, No. 38.

Entry 2
Material: PmYZnGe
Method: DFT, PBE
State: optimized geometry

abc: 5.093 5.093 5.093
angles: 60.00 60.00 60.00
Sites, in units of the cell vectors:
1 Ge 0.250 0.250 0.250
2 Y 0.500 0.500 0.500
3 Pm 0.000 0.000 0.000
4 Zn 0.750 0.750 0.750

The total magnetic moment comes out at 0.0 μB/f.u. As for the volume: 23.36 Å³/atom. Its space-group type is F-43m, No. 216.

entry 1 wins, 7.9 kJ/mol of atoms ahead of the next structure.

Entry 1
Material: Pm3ZnGe3
Method: DFT, PBE
State: optimized geometry

abc: 4.096 4.373 9.736
angles: 102.98 102.14 90.00
Sites, in units of the cell vectors:
1 Pm 0.683 0.183 0.365
2 Pm 0.316 0.816 0.632
3 Pm 0.003 0.003 0.006
4 Ge 0.854 0.354 0.708
5 Ge 0.562 0.562 0.125
6 Ge 0.151 0.651 0.301
7 Zn 0.431 0.431 0.862

The total magnetic moment comes out at 0.0 μB/f.u. As for the volume: 23.70 Å³/atom. Its space-group type is Imm2, No. 44.

Entry 2
Material: Pm3ZnGe3
Method: DFT, PBE
State: optimized geometry

abc: 6.001 8.722 8.722
angles: 120.00 90.00 90.00
Sites, in units of the cell vectors:
1 Pm 0.750 0.361 0.056
2 Pm 0.250 0.056 0.695
3 Pm 0.750 0.695 0.639
4 Pm 0.250 0.305 0.361
5 Pm 0.250 0.639 0.944
6 Pm 0.750 0.944 0.305
7 Zn 0.250 0.667 0.333
8 Zn 0.750 0.333 0.667
9 Ge 0.750 0.055 0.691
10 Ge 0.250 0.365 0.055
11 Ge 0.750 0.309 0.365
12 Ge 0.250 0.945 0.309
13 Ge 0.750 0.635 0.945
14 Ge 0.250 0.691 0.635

The total magnetic moment comes out at 0.0 μB/f.u. As for the volume: 28.24 Å³/atom. Its space-group type is P6_3/m, No. 176.

entry 1 wins, 19.1 kJ/mol of atoms ahead of the next structure.